Record 1
An optimized crystal structure of Sc2NiPd5. Source: Alexandria, functional PBE.

DFT formation energy = -6.122 eV per formula unit
DFT total energy = -6.3164 eV per atom

Cell lengths 5.5990, 11.1704, 4.0021 Å; angles 90.00, 90.00, 90.00 degrees
Space group Pbam (No. 55)
Unique sites:
Sc  0.2399  0.1259  0.0000 [4 per cell]
Ni  0.0000  0.5000  0.5000 [2 per cell]
Pd  0.0000  0.0000  0.5000 [2 per cell]
Pd  0.0171  0.7462  0.5000 [4 per cell]
Pd  0.2313  0.3814  0.0000 [4 per cell]

Record 2
An optimized crystal structure of Sc2NiPd3. Source: Alexandria, functional PBE.

DFT formation energy = -2.552 eV per formula unit
DFT total energy = -6.0958 eV per atom

Cell lengths 8.4439, 8.4439, 11.9915 Å; angles 90.00, 90.00, 90.00 degrees
Space group I4_1/amd (No. 141, origin choice 2)
Unique sites:
Sc  0.0000  0.0417  0.2793 [16 per cell]
Ni  0.0000  0.2500  0.7700 [8 per cell]
Pd  0.0000  0.0000  0.5000 [8 per cell]
Pd  0.2030  0.0470  0.8750 [16 per cell]

Record 3
An optimized crystal structure of Sc3NiPd. Source: Alexandria, functional PBE.

DFT formation energy = -0.679 eV per formula unit
DFT total energy = -6.1295 eV per atom

Cell lengths 4.7856, 4.7856, 4.7856 Å; angles 90.00, 90.00, 90.00 degrees
Space group Pm-3m (No. 221)
Unique sites:
Sc  0.0000  0.0000  0.5000 [3 per cell]
Ni  0.0000  0.0000  0.0000 [1 per cell]
Pd  0.5000  0.5000  0.5000 [1 per cell]

Record 4
An optimized crystal structure of Sc4Ni2Pd. Source: Alexandria, functional PBE.

DFT formation energy = -3.483 eV per formula unit
DFT total energy = -6.5092 eV per atom

Cell lengths 4.5264, 4.5264, 21.8057 Å; angles 90.00, 90.00, 120.00 degrees
Space group R-3m (No. 166, hexagonal axes)
Unique sites:
Sc  0.0000  0.0000  0.1193 [6 per cell]
Sc  0.0000  0.0000  0.3707 [6 per cell]
Ni  0.0000  0.0000  0.2466 [6 per cell]
Pd  0.0000  0.0000  0.5000 [3 per cell]

Record 5
An optimized crystal structure of Sc3NiPd. Source: Alexandria, functional PBE.

DFT formation energy = -2.778 eV per formula unit
DFT total energy = -6.5494 eV per atom

Cell lengths 6.6253, 4.2954, 7.1373 Å; angles 90.00, 108.12, 90.00 degrees
Space group P2_1/m (No. 11)
Unique sites:
Sc  0.0573  0.2500  0.2246 [2 per cell]
Sc  0.3226  0.2500  0.9214 [2 per cell]
Sc  0.3454  0.7500  0.5808 [2 per cell]
Ni  0.0626  0.2500  0.5867 [2 per cell]
Pd  0.3034  0.7500  0.1684 [2 per cell]

Record 6
An optimized crystal structure of ScNi2Pd. Source: Alexandria, functional PBE.

DFT formation energy = -0.507 eV per formula unit
DFT total energy = -5.8984 eV per atom

Cell lengths 3.7173, 3.7173, 17.8341 Å; angles 90.00, 90.00, 90.00 degrees
Space group I-42d (No. 122)
Unique sites:
Sc  0.0000  0.0000  0.0000 [4 per cell]
Ni  0.2333  0.2500  0.6250 [8 per cell]
Pd  0.0000  0.0000  0.5000 [4 per cell]